Entry 1:
VASP calculation (PBE-GGA) on crystalline Na2LiTl2 at its relaxed geometry.

The structure in extended XYZ format:
```
5
Lattice="-3.392 -1.853 -1.807 0.471 -3.371 2.573 -6.148 0.787 5.697" Properties=species:S:1:pos:R:3 pbc="T T T"
Na -5.500 -1.839 2.136
Na -3.568 -2.598 4.326
Tl -2.342 -1.973 1.383
Tl -6.726 -2.465 5.080
Li 0.000 0.000 0.000
```

magnetization	0.00	μB per formula unit
offset from the most stable computed form	151	meV per atom
crystal system	tetragonal
SG	No. 139

Entry 2:
VASP calculation (PBE-GGA) on crystalline Na4Li9Tl11 at its relaxed geometry.

The structure in extended XYZ format:
```
24
Lattice="3.399 0.000 0.000 0.000 12.397 -4.182 0.000 1.027 13.043" Properties=species:S:1:pos:R:3 pbc="T T T"
Na 1.699 7.993 7.279
Na 1.699 5.431 1.582
Na 1.699 9.834 4.489
Na 1.699 3.589 4.372
Li 1.699 7.778 -0.447
Li 1.699 5.645 9.309
Li 1.699 2.645 7.328
Li 1.699 10.778 1.533
Li 1.699 10.965 9.676
Li 1.699 2.459 -0.815
Li 1.699 13.207 6.280
Li 1.699 0.217 2.581
Li 1.699 6.712 4.431
Tl 0.000 8.474 9.993
Tl 0.000 4.950 -1.132
Tl 0.000 12.519 3.865
Tl 0.000 0.904 4.996
Tl 0.000 8.190 2.191
Tl 0.000 5.234 6.670
Tl 0.000 10.202 -0.856
Tl 0.000 3.222 9.718
Tl 0.000 0.000 0.000
Tl 0.000 10.767 7.108
Tl 0.000 2.657 1.754
```

magnetization	0.00	μB per formula unit
crystal system	orthorhombic
SG	No. 65

Entry 3:
VASP calculation (PBE-GGA) on crystalline Na5LiTl at its relaxed geometry.

The structure in extended XYZ format:
```
14
Lattice="-7.787 0.801 0.298 -5.857 -5.138 -0.816 0.087 -1.830 9.903" Properties=species:S:1:pos:R:3 pbc="T T T"
Na -11.022 -4.057 1.991
Na -4.967 -2.489 4.781
Na -11.036 -4.795 6.976
Na -6.412 -3.822 1.993
Na -8.559 -4.554 9.563
Na -4.998 -1.614 -0.177
Na -7.146 -2.346 7.393
Na -2.521 -1.373 2.409
Na -8.590 -3.678 4.604
Na -2.536 -2.111 7.394
Li -7.336 -0.979 2.526
Li -6.222 -5.189 6.859
Tl 0.000 0.000 0.000
Tl 0.043 -0.915 4.951
```

magnetization	0.00	μB per formula unit
crystal system	monoclinic
SG	No. 15

Entry 4:
VASP calculation (PBE-GGA) on crystalline NaLi2Tl at its relaxed geometry.

The structure in extended XYZ format:
```
4
Lattice="-2.223 -3.368 -0.038 1.799 -3.602 -0.279 0.288 -2.692 7.406" Properties=species:S:1:pos:R:3 pbc="T T T"
Na -0.065 -4.833 3.594
Li 0.199 -2.616 5.852
Li -0.053 -2.399 1.431
Tl 0.004 -7.337 7.162
```

magnetization	0.00	μB per formula unit
offset from the most stable computed form	169	meV per atom
crystal system	trigonal
SG	No. 160

Entry 5:
VASP calculation (PBE-GGA) on crystalline Na3LiTl6 at its relaxed geometry.

The structure in extended XYZ format:
```
10
Lattice="6.330 0.000 0.000 -2.110 7.372 0.000 -2.110 -3.686 6.384" Properties=species:S:1:pos:R:3 pbc="T T T"
Na 2.850 3.683 0.000
Na 2.850 -1.841 3.189
Na -1.370 1.844 3.195
Li 3.884 0.000 0.000
Tl -0.152 -2.622 4.542
Tl -0.152 5.245 0.000
Tl -0.489 -1.051 1.820
Tl -0.489 2.101 0.000
Tl 1.621 2.635 4.564
Tl 1.958 1.063 1.842
```

magnetization	0.00	μB per formula unit
offset from the most stable computed form	0	meV per atom
crystal system	trigonal
SG	No. 160

Entry 6:
VASP calculation (PBE-GGA) on crystalline NaLi2Tl5 at its relaxed geometry.

The structure in extended XYZ format:
```
16
Lattice="7.969 0.000 0.000 0.000 7.969 0.000 -3.984 -3.984 6.388" Properties=species:S:1:pos:R:3 pbc="T T T"
Na 3.984 3.984 3.194
Na 0.000 0.000 3.194
Li 1.133 2.851 0.000
Li 5.117 1.133 0.000
Li 2.851 6.836 0.000
Li 6.836 5.117 0.000
Tl 1.224 2.760 4.475
Tl 5.208 6.745 1.913
Tl 0.000 0.000 0.000
Tl 3.984 3.984 0.000
Tl -1.224 -2.760 4.475
Tl 2.760 -1.224 4.475
Tl -2.760 1.224 4.475
Tl 1.224 5.208 1.913
Tl 6.745 2.760 1.913
Tl 2.760 1.224 1.913
```

magnetization	0.00	μB per formula unit
offset from the most stable computed form	0	meV per atom
crystal system	tetragonal
SG	No. 140

Entry 7:
VASP calculation (PBE-GGA) on crystalline Na6LiTl12 at its relaxed geometry.

The structure in extended XYZ format:
```
19
Lattice="-7.350 1.737 -3.218 -1.957 -7.852 1.383 -2.239 2.358 7.538" Properties=species:S:1:pos:R:3 pbc="T T T"
Na -7.576 -5.057 0.897
Na -6.238 -0.671 -1.085
Na -2.950 -4.911 2.779
Na -3.970 1.300 4.805
Na -5.307 -3.087 6.788
Na -8.596 1.154 2.924
Li 0.000 0.000 0.000
Tl -7.916 -1.753 1.613
Tl -6.103 -4.193 3.675
Tl -6.611 -0.768 4.902
Tl -3.630 -2.005 4.090
Tl -5.443 0.435 2.028
Tl -4.934 -2.989 0.800
Tl -1.409 -0.130 2.768
Tl -9.742 -1.258 5.295
Tl -8.495 -4.348 5.785
Tl -10.137 -3.627 2.934
Tl -1.804 -2.499 0.408
Tl -3.051 0.591 -0.082
```

magnetization	0.00	μB per formula unit
crystal system	trigonal
SG	No. 148

Entry 8:
VASP calculation (PBE-GGA) on crystalline NaLi5Tl3 at its relaxed geometry.

The structure in extended XYZ format:
```
18
Lattice="-1.902 3.334 4.411 -6.549 -5.474 1.315 7.500 -1.170 4.118" Properties=species:S:1:pos:R:3 pbc="T T T"
Na 0.000 0.000 0.000
Na -0.951 1.667 2.206
Li -1.866 -4.040 2.249
Li 1.866 -0.938 5.389
Li 2.817 -2.605 3.184
Li -2.817 -2.372 4.455
Li -0.782 -2.000 6.989
Li -5.555 -3.351 5.952
Li -3.539 0.735 3.733
Li -0.169 -1.310 2.855
Li 4.605 0.041 3.893
Li -4.912 -2.875 1.993
Tl -1.086 0.125 5.251
Tl -3.157 -3.725 7.268
Tl -5.633 -1.016 4.153
Tl 0.135 -3.435 4.593
Tl 2.206 0.415 2.576
Tl -2.818 -1.124 1.573
```

magnetization	0.00	μB per formula unit
crystal system	hexagonal
SG	No. 193

Entry 9:
VASP calculation (PBE-GGA) on crystalline NaLi3Tl2 at its relaxed geometry.

The structure in extended XYZ format:
```
6
Lattice="-0.558 -0.775 4.330 0.124 -6.124 -1.081 5.281 3.049 1.226" Properties=species:S:1:pos:R:3 pbc="T T T"
Na 0.000 0.000 0.000
Li 0.062 -3.062 -0.540
Li 2.702 -1.538 0.073
Li 2.641 1.524 0.613
Tl 3.283 -0.396 2.622
Tl 1.564 -3.454 1.853
```

magnetization	0.00	μB per formula unit
offset from the most stable computed form	87	meV per atom
crystal system	hexagonal
SG	No. 191

Entry 10:
VASP calculation (PBE-GGA) on crystalline NaLiTl4 at its relaxed geometry.

The structure in extended XYZ format:
```
6
Lattice="3.507 0.000 1.014 2.080 5.993 -0.621 -0.427 -2.369 8.046" Properties=species:S:1:pos:R:3 pbc="T T T"
Na 0.000 0.000 0.000
Li 2.580 1.812 4.220
Tl 3.634 0.961 7.147
Tl 1.010 -0.574 3.078
Tl 1.526 2.663 1.293
Tl 4.151 4.198 5.362
```

magnetization	0.00	μB per formula unit
offset from the most stable computed form	0	meV per atom
crystal system	monoclinic
SG	No. 12

Calculated ΔE_f in order - 24; -156; 10; 23; -48; -113; -71; -176; -66; -111 meV per atom